VASP calculation (PBE-GGA) on a relaxed structure of Pr3TmSn4.

abc: 4.126 7.115 9.646
angles: 111.64 102.35 90.00
Fractional positions:
1 Pr 0.000 0.500 0.000
2 Pr 0.204 0.204 0.408
3 Pr 0.796 0.796 0.592
4 Tm 0.500 0.000 0.000
5 Sn 0.373 0.578 0.745
6 Sn 0.627 0.422 0.255
7 Sn 0.627 0.833 0.255
8 Sn 0.373 0.167 0.745

VASP energy, eV/atom: -4.918
Magnetization, μB/f.u.: 0.0
N(E_F), states/eV per atom: 0.6762
Formation enthalpy at 0 K, eV/atom: -0.5649

***

VASP calculation (PBE-GGA) on a relaxed structure of PrTmSn2.

abc: 3.871 3.871 9.468
angles: 78.20 78.20 60.00
Fractional positions:
1 Pr 0.000 0.000 0.000
2 Tm 0.500 0.500 0.500
3 Sn 0.754 0.754 0.739
4 Sn 0.246 0.246 0.261

VASP energy, eV/atom: -4.812
Energy relative to the lowest polymorph listed for this composition, eV per atom: 0.207
Magnetization, μB/f.u.: 0.0
N(E_F), states/eV per atom: 0.5214
Formation enthalpy at 0 K, eV/atom: -0.4980

***

VASP calculation (PBE-GGA) on a relaxed structure of PrTm4Sn2.

abc: 4.991 4.991 10.885
angles: 76.75 76.75 60.00
Fractional positions:
1 Pr 0.500 0.500 0.500
2 Tm 0.701 0.701 0.896
3 Tm 0.893 0.893 0.321
4 Tm 0.299 0.299 0.104
5 Tm 0.107 0.107 0.679
6 Sn 0.602 0.602 0.194
7 Sn 0.398 0.398 0.806

VASP energy, eV/atom: -4.546
Magnetization, μB/f.u.: 0.0
N(E_F), states/eV per atom: 1.2596
Formation enthalpy at 0 K, eV/atom: -0.1644

***

VASP calculation (PBE-GGA) on a relaxed structure of PrTmSn.

abc: 4.649 4.649 9.124
angles: 104.76 104.76 90.00
Last column: magnetic moment on the atom in μB.
Fractional positions:
1 Pr 0.324 0.324 0.649  0.15
2 Pr 0.676 0.676 0.351  0.15
3 Tm 0.500 0.000 0.000  0.12
4 Tm 0.000 0.500 0.000  0.12
5 Sn 0.870 0.870 0.740  -0.01
6 Sn 0.130 0.130 0.260  -0.01

VASP energy, eV/atom: -5.036
Energy relative to the lowest polymorph listed for this composition, eV per atom: 0.000
Magnetization, μB/f.u.: 0.5
N(E_F), states/eV per atom: 1.1030
Formation enthalpy at 0 K, eV/atom: -0.6176

***

VASP calculation (PBE-GGA) on a relaxed structure of PrTmSn.

abc: 4.945 4.945 7.767
angles: 90.00 90.00 90.00
Fractional positions:
1 Pr 0.000 0.500 0.709
2 Pr 0.500 0.000 0.291
3 Sn 0.500 0.500 0.000
4 Sn 0.000 0.000 0.000
5 Tm 0.500 0.000 0.748
6 Tm 0.000 0.500 0.252

VASP energy, eV/atom: -4.687
Energy relative to the lowest polymorph listed for this composition, eV per atom: 0.348
Magnetization, μB/f.u.: 0.0
N(E_F), states/eV per atom: 0.6450
Formation enthalpy at 0 K, eV/atom: -0.2693

***

VASP calculation (PBE-GGA) on a relaxed structure of PrTmSn2.

abc: 4.543 4.904 4.904
angles: 90.00 90.00 90.00
Fractional positions:
1 Pr 0.500 0.000 0.000
2 Tm 0.500 0.500 0.500
3 Sn 0.000 0.000 0.500
4 Sn 0.000 0.500 0.000

VASP energy, eV/atom: -4.931
Energy relative to the lowest polymorph listed for this composition, eV per atom: 0.088
Magnetization, μB/f.u.: 0.0
N(E_F), states/eV per atom: 0.8430
Formation enthalpy at 0 K, eV/atom: -0.6166

***

VASP calculation (PBE-GGA) on a relaxed structure of Pr3TmSn2.

abc: 4.666 4.666 8.742
angles: 90.00 90.00 90.00
Fractional positions:
1 Pr 0.500 0.000 0.349
2 Pr 0.000 0.500 0.651
3 Pr 0.000 0.000 0.000
4 Tm 0.500 0.500 0.000
5 Sn 0.500 0.000 0.726
6 Sn 0.000 0.500 0.274

VASP energy, eV/atom: -5.037
Energy relative to the lowest polymorph listed for this composition, eV per atom: 0.003
Magnetization, μB/f.u.: 0.0
N(E_F), states/eV per atom: 1.2841
Formation enthalpy at 0 K, eV/atom: -0.5674

***

VASP calculation (PBE-GGA) on a relaxed structure of PrTm3Sn2.

abc: 4.584 10.409 9.395
angles: 124.51 90.00 102.72
Fractional positions:
1 Pr 0.885 0.770 0.909
2 Pr 0.115 0.230 0.091
3 Tm 0.307 0.614 0.502
4 Tm 0.943 0.886 0.576
5 Tm 0.641 0.281 0.798
6 Tm 0.359 0.719 0.202
7 Tm 0.057 0.114 0.424
8 Tm 0.693 0.386 0.498
9 Sn 0.487 0.974 0.828
10 Sn 0.513 0.026 0.172
11 Sn 0.759 0.518 0.226
12 Sn 0.241 0.482 0.774

VASP energy, eV/atom: -4.848
Magnetization, μB/f.u.: 0.0
N(E_F), states/eV per atom: 1.1152
Formation enthalpy at 0 K, eV/atom: -0.4816